[1]
Here is an optimized crystal structure of Pu2H3N from Alexandria via LeMat-Bulk. Energies are from PBE-GGA.

Unit cell a=6.7725 b=6.7725 c=6.7725 alpha=137.63 beta=64.53 gamma=133.73
Fractional positions:
Pu1 0.1150 0.2386 0.3536
Pu2 0.3850 0.7386 0.1237
Pu3 0.6150 0.2614 0.8763
Pu4 0.8850 0.7614 0.6464
H1 0.1792 0.7385 0.9176
H2 0.2500 0.7500 0.5000
H3 0.3208 0.2385 0.5593
H4 0.6792 0.7615 0.4407
H5 0.7500 0.2500 0.5000
H6 0.8208 0.2615 0.0824
N1 0.2500 0.2500 0.0000
N2 0.7500 0.7500 0.0000

Computed properties:
crystal system: orthorhombic
total DFT energy (no corrections): -101.2 eV for the cell shown
magnetization: 20.000 Bohr magnetons per cell

[2]
Here is an optimized crystal structure of PuHN from Alexandria via LeMat-Bulk. Energies are from PBE-GGA.

Unit cell a=3.6762 b=3.6762 c=3.4676 alpha=90.00 beta=90.00 gamma=120.00
Fractional positions:
Pu1 0.0000 0.0000 0.0000
H1 0.6667 0.3333 0.5000
N1 0.3333 0.6667 0.0000

Computed properties:
crystal system: hexagonal
total DFT energy (no corrections): -27.1 eV for the cell shown
magnetization: 4.000 Bohr magnetons per cell

[3]
Here is an optimized crystal structure of Pu4H3N from Alexandria via LeMat-Bulk. Energies are from PBE-GGA.

Unit cell a=11.6934 b=11.6934 c=11.6934 alpha=17.00 beta=17.00 gamma=17.00
Fractional positions:
Pu1 0.1260 0.1260 0.1260
Pu2 0.3744 0.3744 0.3744
Pu3 0.6256 0.6256 0.6256
Pu4 0.8740 0.8740 0.8740
H1 0.0000 0.0000 0.0000
H2 0.2505 0.2505 0.2505
H3 0.7495 0.7495 0.7495
N1 0.5000 0.5000 0.5000

Computed properties:
crystal system: trigonal
total DFT energy (no corrections): -79.2 eV for the cell shown
magnetization: 22.317 Bohr magnetons per cell

[4]
Here is an optimized crystal structure of PuHN from Alexandria via LeMat-Bulk. Energies are from PBE-GGA.

Unit cell a=3.0607 b=16.5783 c=3.0680 alpha=90.00 beta=90.00 gamma=90.00
Fractional positions:
Pu1 0.0000 0.1404 0.2500
Pu2 0.0000 0.8596 0.7500
Pu3 0.5000 0.3596 0.7500
Pu4 0.5000 0.6404 0.2500
H1 0.0000 0.2746 0.2500
H2 0.0000 0.7254 0.7500
H3 0.5000 0.2254 0.7500
H4 0.5000 0.7746 0.2500
N1 0.0000 0.4062 0.2500
N2 0.0000 0.5938 0.7500
N3 0.5000 0.0938 0.7500
N4 0.5000 0.9062 0.2500

Computed properties:
crystal system: orthorhombic
total DFT energy (no corrections): -107.8 eV for the cell shown
magnetization: 16.019 Bohr magnetons per cell

[5]
Here is an optimized crystal structure of Pu6H8N from Alexandria via LeMat-Bulk. Energies are from PBE-GGA.

Unit cell a=6.9464 b=6.9464 c=6.9464 alpha=54.14 beta=54.14 gamma=54.14
Fractional positions:
Pu1 0.0968 0.4239 0.7433
Pu2 0.2567 0.9032 0.5761
Pu3 0.4239 0.7433 0.0968
Pu4 0.5761 0.2567 0.9032
Pu5 0.7433 0.0968 0.4239
Pu6 0.9032 0.5761 0.2567
H1 0.0369 0.7124 0.3719
H2 0.1659 0.1659 0.1659
H3 0.2876 0.6281 0.9631
H4 0.3719 0.0369 0.7124
H5 0.6281 0.9631 0.2876
H6 0.7124 0.3719 0.0369
H7 0.8341 0.8341 0.8341
H8 0.9631 0.2876 0.6281
N1 0.5000 0.5000 0.5000

Computed properties:
crystal system: trigonal
total DFT energy (no corrections): -127.0 eV for the cell shown
magnetization: 34.612 Bohr magnetons per cell

[6]
Here is an optimized crystal structure of PuH2N from Alexandria via LeMat-Bulk. Energies are from PBE-GGA.

Unit cell a=5.0875 b=5.0875 c=5.0875 alpha=90.00 beta=90.00 gamma=90.00
Fractional positions:
Pu1 0.0000 0.0000 0.0000
Pu2 0.0000 0.5000 0.5000
Pu3 0.5000 0.0000 0.5000
Pu4 0.5000 0.5000 0.0000
H1 0.2500 0.2500 0.2500
H2 0.2500 0.2500 0.7500
H3 0.2500 0.7500 0.2500
H4 0.2500 0.7500 0.7500
H5 0.7500 0.2500 0.2500
H6 0.7500 0.2500 0.7500
H7 0.7500 0.7500 0.2500
H8 0.7500 0.7500 0.7500
N1 0.0000 0.0000 0.5000
N2 0.0000 0.5000 0.0000
N3 0.5000 0.0000 0.0000
N4 0.5000 0.5000 0.5000

Computed properties:
crystal system: cubic
total DFT energy (no corrections): -120.8 eV for the cell shown
magnetization: 16.442 Bohr magnetons per cell

[7]
Here is an optimized crystal structure of Pu9H14N2 from Alexandria via LeMat-Bulk. Energies are from PBE-GGA.

Unit cell a=6.4833 b=6.4833 c=9.4393 alpha=90.00 beta=90.00 gamma=120.00
Fractional positions:
Pu1 0.0000 0.0000 0.0000
Pu2 0.0058 0.3376 0.3315
Pu3 0.3318 0.9942 0.3315
Pu4 0.3333 0.6667 0.0175
Pu5 0.3376 0.3318 0.6685
Pu6 0.6624 0.6682 0.3315
Pu7 0.6667 0.3333 0.9825
Pu8 0.6682 0.0058 0.6685
Pu9 0.9942 0.6624 0.6685
H1 0.0000 0.0000 0.2426
H2 0.0000 0.0000 0.7574
H3 0.0010 0.6683 0.4215
H4 0.0142 0.6757 0.9134
H5 0.3243 0.3385 0.9134
H6 0.3317 0.3327 0.4215
H7 0.3327 0.0010 0.5785
H8 0.3385 0.0142 0.0866
H9 0.6615 0.9858 0.9134
H10 0.6673 0.9990 0.4215
H11 0.6683 0.6673 0.5785
H12 0.6757 0.6615 0.0866
H13 0.9858 0.3243 0.0866
H14 0.9990 0.3317 0.5785
N1 0.3333 0.6667 0.2576
N2 0.6667 0.3333 0.7424

Computed properties:
crystal system: trigonal
total DFT energy (no corrections): -203.3 eV for the cell shown
magnetization: 16.742 Bohr magnetons per cell

[8]
Here is an optimized crystal structure of Pu4H5N from Alexandria via LeMat-Bulk. Energies are from PBE-GGA.

Unit cell a=6.3453 b=6.3453 c=6.4131 alpha=101.40 beta=101.40 gamma=32.34
Fractional positions:
Pu1 0.1026 0.1026 0.3387
Pu2 0.3560 0.3560 0.1845
Pu3 0.6440 0.6440 0.8155
Pu4 0.8974 0.8974 0.6613
H1 0.1676 0.1676 0.0336
H2 0.2445 0.2445 0.6674
H3 0.5000 0.5000 0.0000
H4 0.7555 0.7555 0.3326
H5 0.8324 0.8324 0.9664
N1 0.5000 0.5000 0.5000

Computed properties:
crystal system: monoclinic
total DFT energy (no corrections): -86.8 eV for the cell shown
magnetization: 23.818 Bohr magnetons per cell

[9]
Here is an optimized crystal structure of Pu2HN from Alexandria via LeMat-Bulk. Energies are from PBE-GGA.

Unit cell a=3.4423 b=5.9463 c=6.0968 alpha=90.00 beta=90.00 gamma=90.00
Fractional positions:
Pu1 0.2500 0.0037 0.2383
Pu2 0.2500 0.4963 0.2383
Pu3 0.7500 0.5037 0.7617
Pu4 0.7500 0.9963 0.7617
H1 0.2500 0.2500 0.5846
H2 0.7500 0.7500 0.4154
N1 0.2500 0.7500 0.9252
N2 0.7500 0.2500 0.0748

Computed properties:
crystal system: orthorhombic
total DFT energy (no corrections): -85.2 eV for the cell shown
magnetization: 23.224 Bohr magnetons per cell

[10]
Here is an optimized crystal structure of Pu3H2N3 from Alexandria via LeMat-Bulk. Energies are from PBE-GGA.

Unit cell a=6.8554 b=6.8554 c=4.9433 alpha=90.00 beta=90.00 gamma=120.00
Fractional positions:
Pu1 0.0000 0.3507 0.2500
Pu2 0.0000 0.6493 0.7500
Pu3 0.3507 0.0000 0.2500
Pu4 0.3507 0.3507 0.7500
Pu5 0.6493 0.0000 0.7500
Pu6 0.6493 0.6493 0.2500
H1 0.3333 0.6667 0.0000
H2 0.3333 0.6667 0.5000
H3 0.6667 0.3333 0.0000
H4 0.6667 0.3333 0.5000
N1 0.0000 0.2955 0.7500
N2 0.0000 0.7045 0.2500
N3 0.2955 0.0000 0.7500
N4 0.2955 0.2955 0.2500
N5 0.7045 0.0000 0.2500
N6 0.7045 0.7045 0.7500

Computed properties:
crystal system: hexagonal
total DFT energy (no corrections): -164.4 eV for the cell shown
magnetization: 26.000 Bohr magnetons per cell

[11]
Here is an optimized crystal structure of Pu6HN5 from Alexandria via LeMat-Bulk. Energies are from PBE-GGA.

Unit cell a=6.0707 b=6.0707 c=6.0575 alpha=99.71 beta=99.71 gamma=120.08
Fractional positions:
Pu1 0.0787 0.4173 0.7490
Pu2 0.2447 0.2447 0.2565
Pu3 0.4173 0.0787 0.7490
Pu4 0.5827 0.9213 0.2510
Pu5 0.7553 0.7553 0.7435
Pu6 0.9213 0.5827 0.2510
H1 0.5000 0.5000 0.0000
N1 0.0000 0.0000 0.5000
N2 0.1640 0.8360 0.0000
N3 0.3234 0.6766 0.5000
N4 0.6766 0.3234 0.5000
N5 0.8360 0.1640 0.0000

Computed properties:
crystal system: monoclinic
total DFT energy (no corrections): -143.8 eV for the cell shown
magnetization: 30.812 Bohr magnetons per cell

[12]
Here is an optimized crystal structure of Pu3H3N from Alexandria via LeMat-Bulk. Energies are from PBE-GGA.

Unit cell a=6.9501 b=6.9501 c=6.9501 alpha=53.89 beta=53.89 gamma=53.89
Fractional positions:
Pu1 0.0828 0.4248 0.7625
Pu2 0.2375 0.9172 0.5752
Pu3 0.4248 0.7625 0.0828
Pu4 0.5752 0.2375 0.9172
Pu5 0.7625 0.0828 0.4248
Pu6 0.9172 0.5752 0.2375
H1 0.0433 0.7037 0.3694
H2 0.2963 0.6306 0.9567
H3 0.3694 0.0433 0.7037
H4 0.6306 0.9567 0.2963
H5 0.7037 0.3694 0.0433
H6 0.9567 0.2963 0.6306
N1 0.1662 0.1662 0.1662
N2 0.8338 0.8338 0.8338

Computed properties:
crystal system: trigonal
total DFT energy (no corrections): -129.7 eV for the cell shown
magnetization: 33.978 Bohr magnetons per cell